A plane-wave DFT calculation with GGA-PBE was carried out for PrSc5Zn4 after structural relaxation.

a b c (Å): 3.3709 3.3709 18.4605
angles (deg): 90.00 90.00 90.00
Fractional positions:
Pr (0.0000, 0.0000, 0.0000)
Sc (0.5000, 0.5000, 0.1408)
Sc (0.5000, 0.5000, 0.3199)
Sc (0.5000, 0.5000, 0.5000)
Sc (0.5000, 0.5000, 0.6801)
Sc (0.5000, 0.5000, 0.8592)
Zn (0.0000, 0.0000, 0.2289)
Zn (0.0000, 0.0000, 0.4092)
Zn (0.0000, 0.0000, 0.5908)
Zn (0.0000, 0.0000, 0.7711)

Values from the calculation:
- VASP energy: -4.44 eV per atom
- V: 209.8 Å³/cell
- ΔH_f (0 K): -2.84 eV/f.u.
- Symmetry: P4/mmm (123)
- M_tot: 0.00 μB per formula unit